First-principles (PBE-GGA) data for a relaxed structure of Al2CdW, as listed in Alexandria.

```
Al2CdW
1.0
2.906 0.000 0.000
0.000 4.171 0.000
0.000 0.000 5.589
Al W Cd
2 1 1
Cartesian
0.000 0.000 5.470
1.453 2.085 1.414
1.453 2.085 4.350
0.000 0.000 2.740
```

Results
Its spin magnetization is 0.0 μB per formula unit. Its symmetry is Pmm2. As for the total energy: -20.35 eV/cell. The formation energy comes out at 252 meV/atom.

***

First-principles (PBE-GGA) data for a relaxed structure of Pm2SmY2Er2, as listed in Alexandria.

```
Pm2SmY2Er2
1.0
-3.343 0.711 -0.758
-0.044 -3.860 4.657
-0.479 7.490 9.143
Pm Sm Y Er
2 1 2 2
Cartesian
-2.645 6.211 9.413
-1.220 -1.869 3.628
-0.239 3.745 4.572
-2.673 3.644 7.125
-1.193 0.697 5.916
-2.100 1.416 2.508
-1.766 2.925 10.534
```

Results
Its spin magnetization is 0.0 μB per formula unit. Its symmetry is C2/m. As for the total energy: -35.25 eV/cell. The formation energy comes out at 146 meV/atom.

***

First-principles (PBE-GGA) data for a relaxed structure of Ca3NdIn4, as listed in Alexandria.

```
Ca3NdIn4
1.0
-1.937 0.501 -3.271
-2.299 -2.930 0.913
-9.697 9.870 7.256
Ca Nd In
3 1 4
Cartesian
-4.573 1.285 0.658
-6.967 3.721 2.449
-9.360 6.157 4.240
-2.118 -1.214 -1.179
-8.450 8.601 6.323
-1.247 1.269 0.933
-3.638 3.702 2.722
-6.060 6.168 4.534
```

Results
Its spin magnetization is 0.0 μB per formula unit. Its symmetry is P4/mmm. As for the total energy: -25.52 eV/cell. The formation energy comes out at -475 meV/atom.